[1]
Material: DyZrIr
Method: DFT, PBE
State: relaxed

The structure in extended XYZ format:
```
3
Lattice="0.000 3.256 3.256 3.256 0.000 3.256 3.256 3.256 0.000" Properties=species:S:1:pos:R:3 pbc="T T T"
Dy 0.000 0.000 0.000
Ir 1.628 1.628 1.628
Zr 4.885 4.885 4.885
```

- energy relative to the elements (eV/f.u.) = 1.4


[2]
Material: La2Ag3Hg3O12
Method: DFT, PBE
State: relaxed

The structure in extended XYZ format:
```
80
Lattice="-1.312 9.278 6.776 -8.262 -7.726 2.401 10.376 -4.733 1.911" Properties=species:S:1:pos:R:3 pbc="T T T"
O 5.565 -0.379 7.845
O 0.854 2.790 3.440
O 4.727 -2.588 4.744
O -7.465 -1.286 6.375
O -2.162 7.050 6.890
O 4.904 3.494 6.360
O -4.087 0.741 8.347
O -4.763 -2.802 3.244
O 1.327 -3.731 5.037
O 0.508 0.420 2.294
O 4.889 -3.922 2.742
O 3.081 1.235 8.487
O -7.662 0.291 8.503
O -5.014 -5.710 2.428
O 1.291 -3.902 2.632
O 3.374 -6.103 2.717
O -0.489 0.721 8.456
O -5.208 -3.985 5.580
O 8.464 -3.472 2.586
O 5.816 2.529 8.661
O 3.408 -4.885 6.217
O 4.261 -2.404 7.733
O 6.010 0.804 5.509
O -2.041 -1.016 9.731
O 3.040 5.010 6.555
O 2.843 -2.165 1.357
O -1.807 -2.190 6.224
O -2.606 1.705 4.871
O -2.572 2.922 8.372
O -3.459 -0.777 3.355
O -2.279 -4.416 2.601
O -2.238 -8.191 4.533
O 1.637 -2.043 7.535
O -4.102 -6.675 4.728
O 2.964 -10.231 4.198
O -0.525 0.550 6.051
O 0.128 -7.030 4.204
O 8.267 -1.895 4.713
O 0.294 -3.601 8.794
O 3.020 1.179 5.833
O -0.835 -1.138 3.553
O 1.954 -8.079 5.380
O 2.609 -0.991 4.865
O 0.674 3.849 6.884
O -0.052 -5.971 7.648
O -1.152 4.898 5.709
O -2.218 -4.360 5.256
O -3.925 -0.593 6.344
Hg 1.006 2.092 5.552
Hg 1.470 -0.260 8.863
Hg -6.047 1.732 7.969
Hg -2.785 3.470 6.221
Hg 2.530 -0.421 2.711
Hg 6.849 -4.913 3.120
Hg -0.204 -5.273 5.536
Hg -5.455 -2.145 6.814
Hg 3.587 -6.651 4.867
Hg -1.728 -2.760 8.377
Hg 6.257 -1.036 4.275
Hg -0.668 -2.921 2.225
Ag 3.864 -0.648 6.569
Ag 7.062 1.851 7.055
Ag -2.470 -6.409 3.365
Ag 0.414 5.969 6.707
Ag 2.062 -4.137 7.708
Ag -3.062 -2.533 4.519
Ag -2.257 0.355 7.299
Ag -6.260 -5.032 4.034
Ag 3.059 -3.536 3.789
Ag 3.272 3.228 7.724
Ag 0.388 -9.150 4.381
Ag -1.260 0.956 3.380
La -0.656 4.639 3.388
La 4.532 2.272 4.344
La 0.000 0.000 0.000
La -4.131 -3.863 1.201
La 0.401 -1.590 5.544
La 5.188 -2.367 0.956
La 1.057 -6.229 2.156
La -4.787 0.776 4.589
```


[3]
Material: Ge2PdS
Method: DFT, PBE
State: relaxed

The structure in extended XYZ format:
```
8
Lattice="6.168 0.000 0.000 0.000 3.456 0.000 -0.469 0.000 6.964" Properties=species:S:1:pos:R:3 pbc="T T T"
Ge 0.263 2.592 4.555
Ge 3.177 0.864 5.543
Ge 2.522 2.592 1.421
Ge 5.436 0.864 2.409
S 4.574 2.592 0.093
S 1.125 0.864 6.870
Pd 1.716 0.864 3.312
Pd 3.984 2.592 3.652
```


[4]
Material: NaNbSO
Method: DFT, PBE
State: relaxed

The structure in extended XYZ format:
```
8
Lattice="3.291 0.000 0.000 0.000 6.678 0.000 0.000 0.000 6.146" Properties=species:S:1:pos:R:3 pbc="T T T"
Na 0.000 3.958 3.748
Na 0.000 2.720 0.675
O 1.646 1.338 1.209
O 1.646 5.340 4.282
S 0.000 5.353 1.304
S 0.000 1.325 4.377
Nb 1.646 6.514 5.975
Nb 1.646 0.164 2.902
```

- E above lowest polymorph (eV per atom) = 0.165


[5]
Material: Na2GdYSn2Pt2
Method: DFT, PBE
State: relaxed

The structure in extended XYZ format:
```
8
Lattice="4.883 0.000 0.000 0.000 4.883 0.000 0.000 0.000 6.906" Properties=species:S:1:pos:R:3 pbc="T T T"
Na 0.000 2.442 5.179
Na 2.442 0.000 1.727
Y 2.442 2.442 3.453
Pt 2.442 0.000 5.177
Pt 0.000 2.442 1.729
Sn 0.000 0.000 3.453
Sn 2.442 2.442 0.000
Gd 0.000 0.000 0.000
```


[6]
Material: HgSb
Method: DFT, PBE
State: relaxed

The structure in extended XYZ format:
```
2
Lattice="-3.756 -1.390 1.426 -3.306 -0.294 -2.657 -1.443 -3.820 -1.185" Properties=species:S:1:pos:R:3 pbc="T T T"
Hg 0.000 0.000 0.000
Sb -4.253 -2.752 -1.208
```

- E above lowest polymorph (eV per atom) = 0.108


[7]
Material: YTmCl6
Method: DFT, PBE
State: relaxed

The structure in extended XYZ format:
```
8
Lattice="1.749 5.986 2.754 -6.479 -2.107 0.225 2.667 -4.043 4.261" Properties=species:S:1:pos:R:3 pbc="T T T"
Cl -1.687 -0.057 5.529
Cl -4.429 0.546 2.844
Cl 2.351 -0.659 4.419
Cl -0.419 -0.148 1.698
Cl -1.446 3.415 3.734
Cl -0.562 -3.589 3.496
Y -5.119 -0.769 0.643
Tm 0.386 4.646 2.335
```


[8]
Material: BaInGeAu2
Method: DFT, PBE
State: relaxed

The structure in extended XYZ format:
```
10
Lattice="4.731 0.000 0.000 0.000 4.731 0.000 0.000 0.000 11.207" Properties=species:S:1:pos:R:3 pbc="T T T"
Ge 2.366 0.000 1.334
Ge 0.000 2.366 9.873
In 2.366 2.366 5.603
In 0.000 0.000 5.603
Ba 0.000 2.366 2.622
Ba 2.366 0.000 8.585
Au 0.000 2.366 7.248
Au 2.366 2.366 0.000
Au 0.000 0.000 0.000
Au 2.366 0.000 3.959
```


[9]
Material: ZnFeAgB
Method: DFT, PBE
State: relaxed

The structure in extended XYZ format:
```
4
Lattice="3.201 -2.469 0.741 1.901 0.137 3.641 -0.385 -3.128 2.638" Properties=species:S:1:pos:R:3 pbc="T T T"
Zn 2.358 -2.730 3.510
Fe 3.538 -4.095 5.265
Ag 1.179 -1.365 1.755
B 0.000 0.000 0.000
```

- E above lowest polymorph (eV per atom) = 0.000


[10]
Material: Re2Mo
Method: DFT, PBE
State: relaxed

The structure in extended XYZ format:
```
6
Lattice="-0.552 1.430 4.889 2.053 4.403 1.629 -3.032 3.956 1.185" Properties=species:S:1:pos:R:3 pbc="T T T"
Mo -0.765 4.894 3.851
Mo -1.148 7.341 5.777
Re -0.191 1.224 0.963
Re -0.467 1.938 3.407
Re 0.835 3.425 1.777
Re -1.707 3.202 1.556
```

- energy relative to the elements (eV/f.u.) = 0.5
- E above lowest polymorph (eV per atom) = 0.038


[11]
Material: ZrGaFeNi
Method: DFT, PBE
State: relaxed

The structure in extended XYZ format:
```
4
Lattice="0.000 3.050 3.050 3.050 0.000 3.050 3.050 3.050 0.000" Properties=species:S:1:pos:R:3 pbc="T T T"
Ga 0.000 0.000 0.000
Ni 1.525 1.525 1.525
Zr 3.050 3.050 3.050
Fe 4.575 4.575 4.575
```

- E above lowest polymorph (eV per atom) = 0.000


[12]
Material: TlCuTe2OsSe
Method: DFT, PBE
State: relaxed

The structure in extended XYZ format:
```
12
Lattice="-4.931 4.954 3.606 3.180 -7.144 -0.839 6.990 2.371 6.300" Properties=species:S:1:pos:R:3 pbc="T T T"
Cu 0.703 -0.250 3.051
Cu 4.536 0.431 6.015
Te 6.810 -0.266 6.903
Te 3.866 -1.264 4.250
Te 1.373 1.445 4.817
Te -1.571 0.446 2.164
Se 7.855 -4.519 4.197
Se -2.616 4.700 4.870
Os 3.495 1.186 3.150
Os 0.000 0.000 0.000
Tl 2.889 -3.511 1.853
Tl 2.350 3.692 7.214
```


Total energy values, unit hartree per atom, following the record order: -0.2526; -0.1624; -0.1760; -0.2396; -0.1811; -0.0748; -0.1848; -0.1362; -0.1504; -0.4309; -0.2466; -0.1638.
Calculated volume values, unit Å³ per cell, following the record order: 69.1; 1190.3; 148.4; 135.1; 164.7; 54.3; 242.3; 250.9; 49.1; 95.1; 56.7; 291.1.